[1]
Here is a relaxed structure of Mn2ZnPC from Alexandria. Energies are from PBE-GGA.

Unit cell a=4.751 b=4.249 c=4.751 alpha=90.00 beta=90.00 gamma=90.00
Positions (direct):
P  0.000  0.500  0.000
Zn  0.000  0.000  0.000
Mn  0.000  0.000  0.500
Mn  0.500  0.000  0.000
C  0.500  0.500  0.500

Computed properties:
V, Å³/cell: 95.9
Formation energy, eV per atom: 1.984

=====

[2]
Here is a relaxed structure of ZrMnP2C from Alexandria. Energies are from PBE-GGA.

Unit cell a=4.596 b=3.572 c=4.596 alpha=90.00 beta=90.00 gamma=90.00
Positions (direct):
P  0.000  0.000  0.500
P  0.500  0.000  0.000
C  0.000  0.500  0.000
Mn  0.000  0.000  0.000
Zr  0.500  0.500  0.500

Computed properties:
V, Å³/cell: 75.4
Formation energy, eV per atom: 0.316

=====

[3]
Here is a relaxed structure of ZrMn2PC from Alexandria. Energies are from PBE-GGA.

Unit cell a=3.557 b=5.465 c=6.614 alpha=90.00 beta=90.00 gamma=108.99
Positions (direct):
Zr  0.457  0.914  0.750
Zr  0.543  0.086  0.250
Mn  0.170  0.340  0.940
Mn  0.830  0.660  0.060
Mn  0.170  0.340  0.560
Mn  0.830  0.660  0.440
P  0.734  0.467  0.750
P  0.266  0.533  0.250
C  0.000  0.000  0.000
C  0.000  0.000  0.500

Computed properties:
V, Å³/cell: 121.6
Formation energy, eV per atom: -0.677

=====

Number 1: Fermi-level density of states 0.438 states/eV per atom. Number 2: Fermi-level density of states 0.687 states/eV per atom. Number 3: Fermi-level density of states 0.675 states/eV per atom.